No. 1
DFT (PBE-GGA) results for a relaxed structure of LiLu3Zr2.

Output
As for the total energy: -4.78 eV/atom. As for the space-group type: No. 191. For the magnetic moment, the calculation gives 0.038 Bohr magnetons per cell. The calculation puts the volume at 176 Å³/cell.

abc: 6.2362 6.2362 5.2132
angles: 90.00 90.00 120.00
Closest atoms and distances in Å follow each position.
Atoms (fractional coordinates):
Li  0.0000  0.0000  0.0000  6 Zr 3.60
Lu  0.0000  0.5000  0.5000  4 Lu 3.12, 4 Zr 3.17
Lu  0.5000  0.0000  0.5000  4 Lu 3.12, 4 Zr 3.17
Lu  0.5000  0.5000  0.5000  4 Lu 3.12, 4 Zr 3.17
Zr  0.3333  0.6667  0.0000  6 Lu 3.17
Zr  0.6667  0.3333  0.0000  6 Lu 3.17

---

No. 2
DFT (PBE-GGA) results for a relaxed structure of NdYSn2.

Output
As for the total energy: -4.76 eV/atom. As for the space-group type: No. 38. For the magnetic moment, the calculation gives 0.019 Bohr magnetons per cell. The calculation puts the volume at 132 Å³/cell.

abc: 3.3667 6.9655 6.9655
angles: 53.75 90.00 90.00
Closest atoms and distances in Å follow each position.
Atoms (fractional coordinates):
Nd  0.0000  0.0000  0.0000  3 Sn 3.08-3.16, 2 Nd 3.37
Y  0.0000  0.2838  0.2838  3 Sn 3.00-3.17
Sn  0.0000  0.5254  0.5254  1 Sn 2.82, 1 Y 3.00
Sn  0.0000  0.7523  0.7523  1 Sn 2.82, 1 Nd 3.08

---

No. 3
DFT (PBE-GGA) results for a relaxed structure of GdSnTe3Pb.

Output
As for the total energy: -4.18 eV/atom. As for the space-group type: No. 63. For the magnetic moment, the calculation gives 0.022 Bohr magnetons per cell. The calculation puts the volume at 381 Å³/cell.

abc: 8.0339 8.0339 11.1017
angles: 90.00 90.00 147.90
Closest atoms and distances in Å follow each position.
Atoms (fractional coordinates):
Gd  0.0000  0.0000  0.0000  6 Te 3.18-3.31
Gd  0.0000  0.0000  0.5000  6 Te 3.18-3.31
Sn  0.4740  0.5260  0.7500  4 Te 3.04-3.14
Sn  0.5260  0.4740  0.2500  4 Te 3.04-3.14
Te  0.1174  0.8826  0.7500  2 Sn 3.14, 2 Pb 3.29, 2 Gd 3.31
Te  0.3541  0.6459  0.5322  1 Sn 3.04, 2 Gd 3.18
Te  0.3541  0.6459  0.9678  1 Sn 3.04, 2 Gd 3.18
Te  0.6459  0.3541  0.0322  1 Sn 3.04, 2 Gd 3.18
Te  0.6459  0.3541  0.4678  1 Sn 3.04, 2 Gd 3.18
Te  0.8826  0.1174  0.2500  2 Sn 3.14, 2 Pb 3.29, 2 Gd 3.31
Pb  0.2252  0.7748  0.2500  6 Te 3.29-3.50
Pb  0.7748  0.2252  0.7500  6 Te 3.29-3.50

---

No. 4
DFT (PBE-GGA) results for a relaxed structure of IrAuNO.

Output
As for the total energy: -5.47 eV/atom. As for the space-group type: No. 67. For the magnetic moment, the calculation gives 0.013 Bohr magnetons per cell. The calculation puts the volume at 100 Å³/cell.

abc: 3.8839 3.8839 6.6489
angles: 90.00 90.00 90.90
Closest atoms and distances in Å follow each position.
Atoms (fractional coordinates):
Ir  0.2500  0.2500  0.0000  4 N 2.12
Ir  0.7500  0.7500  0.0000  4 N 2.12
Au  0.2500  0.7500  0.6558  4 O 2.20
Au  0.7500  0.2500  0.3442  4 O 2.20
N  0.2500  0.7500  0.1276  4 Ir 2.12
N  0.7500  0.2500  0.8724  4 Ir 2.12
O  0.2500  0.2500  0.5000  4 Au 2.20
O  0.7500  0.7500  0.5000  4 Au 2.20

---

No. 5
DFT (PBE-GGA) results for a relaxed structure of ErSc2In3Pt2.

Output
As for the total energy: -5.55 eV/atom. As for the space-group type: No. 38. For the magnetic moment, the calculation gives 0.012 Bohr magnetons per cell. The calculation puts the volume at 171 Å³/cell.

abc: 3.4382 7.5772 7.5772
angles: 120.08 90.00 90.00
Closest atoms and distances in Å follow each position.
Atoms (fractional coordinates):
Er  0.0000  0.0000  0.0000  4 Pt 2.89, 2 In 3.16
Sc  0.0000  0.1566  0.5792  4 Pt 2.82, 2 In 3.11
Sc  0.0000  0.5792  0.1566  4 Pt 2.82, 2 In 3.11
In  0.5000  0.3505  0.3505  2 Pt 3.03, 2 In 3.03, 2 Er 3.16, 4 Sc 3.27
In  0.5000  0.5749  0.8127  2 Pt 2.89-3.01, 2 In 3.03-3.12, 2 Sc 3.11
In  0.5000  0.8127  0.5749  2 Pt 2.89-3.01, 2 In 3.03-3.12, 2 Sc 3.11
Pt  0.5000  0.2522  0.9106  4 Sc 2.82, 3 In 2.89-3.03, 2 Er 2.89
Pt  0.5000  0.9106  0.2522  4 Sc 2.82, 3 In 2.89-3.03, 2 Er 2.89

---

No. 6
DFT (PBE-GGA) results for a relaxed structure of TbLuIr.

Output
As for the calculated formation energy: 129.3 meV per atom. As for the space-group type: No. 216. For the magnetic moment, the calculation gives 0.001 Bohr magnetons per cell. The calculation puts the volume at 72 Å³/cell.

abc: 4.6697 4.6697 4.6697
angles: 60.00 60.00 60.00
Closest atoms and distances in Å follow each position.
Atoms (fractional coordinates):
Tb  0.0000  0.0000  0.0000  4 Lu 2.86
Lu  0.7500  0.7500  0.7500  4 Tb 2.86, 4 Ir 2.86
Ir  0.5000  0.5000  0.5000  4 Lu 2.86